Rb3PmCu2Br9 PBE relaxed; formation energy (no corrections) = -1272 meV/atom; size of the total moment = 0.065 μB per atom; V = 486.79 Å³ per cell
1.0
-1.6389 0.0644 7.5030
-2.3226 -5.8598 -4.3878
8.1493 -4.5924 1.8195
Pm Br Cu Rb
1 9 2 3
direct
0.0000 0.0000 0.5000
0.8265 0.6530 0.6759
0.6530 0.8265 0.3241
0.3470 0.1735 0.6759
0.5000 0.5000 0.0000
0.8265 0.1735 0.6759
0.5000 0.0000 0.0000
0.1735 0.3470 0.3241
0.1735 0.8265 0.3241
0.0000 0.5000 0.0000
0.3333 0.6667 0.1373
0.6667 0.3333 0.8627
0.6667 0.3333 0.3125
0.3333 0.6667 0.6875
0.0000 0.0000 0.0000